#P
TlRe2Pd: optimized geometry, PBE-GGA.

Computed properties:
density	15.2	g/cm³
M_tot	3.40	μB per cell

abc: 7.547 7.547 5.942
angles: 50.57 50.57 90.00
Element x y z (fractional)
Re: 0.603 0.125 0.250
Re: 0.147 0.625 0.250
Re: 0.375 0.397 0.750
Re: 0.875 0.853 0.750
Tl: 0.000 0.000 0.000
Tl: 0.750 0.250 0.500
Pd: 0.500 0.500 0.000
Pd: 0.250 0.750 0.500



#Q
TlRe2Pd: optimized geometry, PBE-GGA.

Computed properties:
density	17.2	g/cm³
M_tot	0.00	μB per cell

abc: 4.539 4.539 4.539
angles: 60.00 60.00 60.00
Element x y z (fractional)
Re: 0.250 0.250 0.250
Re: 0.750 0.750 0.750
Tl: 0.500 0.500 0.500
Pd: 0.000 0.000 0.000



Going by the computed energies, the most stable comes first: #Q, #P.



#P
RePdW2: optimized geometry, PBE-GGA.

Computed properties:
density	17.4	g/cm³
M_tot	0.00	μB per cell

abc: 4.469 4.469 4.469
angles: 60.00 60.00 60.00
Element x y z (fractional)
Re: 0.500 0.500 0.500
Pd: 0.000 0.000 0.000
W: 0.250 0.250 0.250
W: 0.750 0.750 0.750



#Q
RePdW2: optimized geometry, PBE-GGA.

Computed properties:
density	17.7	g/cm³
M_tot	0.00	μB per cell

abc: 3.932 3.965 3.965
angles: 90.00 90.00 90.00
Element x y z (fractional)
Re: 0.500 0.500 0.500
Pd: 0.500 0.000 0.000
W: 0.000 0.000 0.500
W: 0.000 0.500 0.000



Going by the computed energies, the most stable comes first: #Q, #P.



#P
ZrRe3Pd: optimized geometry, PBE-GGA.

Computed properties:
density	11.9	g/cm³
M_tot	0.00	μB per cell

abc: 4.732 4.732 4.732
angles: 90.00 90.00 90.00
Element x y z (fractional)
Re: 0.000 0.500 0.000
Re: 0.000 0.000 0.500
Re: 0.500 0.000 0.000
Zr: 0.000 0.000 0.000
Pd: 0.500 0.500 0.500



#Q
ZrRe3Pd: optimized geometry, PBE-GGA.

Computed properties:
density	12.2	g/cm³
M_tot	0.00	μB per cell

abc: 4.688 4.688 4.688
angles: 90.00 90.00 90.00
Element x y z (fractional)
Re: 0.000 0.500 0.000
Re: 0.000 0.000 0.500
Re: 0.500 0.000 0.000
Zr: 0.500 0.500 0.500
Pd: 0.000 0.000 0.000



Going by the computed energies, the most stable comes first: #Q, #P.